Compound: ZrTaSi2
Source: the Open Quantum Materials Database
Functional: PBE
Structure: optimized geometry

Values from the calculation:
The magnetization is 0.007 μB/cell. Its total energy is -7.624 eV per atom.

abc: 4.563 4.563 4.563
angles: 60.00 60.00 60.00
Fractional coordinates of all 4 atoms:
1 Si 0.000 0.000 0.000
2 Si 0.250 0.250 0.250
3 Ta 0.500 0.500 0.500
4 Zr 0.750 0.750 0.750